Nd2Ge2Pd3 | GGA-PBE | optimized geometry

a = 4.0854 Å, b = 5.6770 Å, c = 7.1011 Å
α = 111.75°, β = 90.00°, γ = 111.09°
Last column: nearest neighbours and their distance in Å.
Atoms (fractional coordinates):
Nd1 0.1316 0.2632 0.7668  4 Ge 3.04-3.16, 6 Pd 3.11-3.27
Ge1 0.8462 0.6924 0.7763  5 Pd 2.62-2.70
Pd1 0.3753 0.7507 0.5665  3 Ge 2.62-2.63, 1 Pd 2.83
Pd2 0.6247 0.2493 0.4335  3 Ge 2.62-2.63, 1 Pd 2.83
Pd3 0.5000 0.0000 0.0000  4 Ge 2.70, 2 Pd 2.83
Ge2 0.1538 0.3076 0.2237  5 Pd 2.62-2.70
Nd2 0.8684 0.7368 0.2332  4 Ge 3.04-3.16, 6 Pd 3.11-3.27

Calculated values
Raw total energy, eV/cell: -40.3
SG: C2/m
ΔE_f, eV per atom: -0.844